Material: DyPu2U3P6
Method: DFT, GGA-PBE
State: relaxed

Cell lengths 6.842, 6.842, 6.949 Å; angles 99.44, 99.44, 120.02 degrees
Fractional positions:
1 P 0.250 0.250 0.745
2 Dy 0.000 0.000 0.000
3 Pu 0.333 0.667 0.000
4 P 0.750 0.750 0.255
5 U 0.500 0.500 0.500
6 U 0.834 0.166 0.500
7 P 0.580 0.915 0.745
8 P 0.420 0.085 0.255
9 P 0.915 0.580 0.745
10 U 0.166 0.834 0.500
11 Pu 0.667 0.333 0.000
12 P 0.085 0.420 0.255

Results
As for the space group: No. 12. The calculation puts the total moment at 17.05 μB/f.u. As for the formation energy: -1.141 eV/atom.

=====

Material: DyYPu2P4
Method: DFT, GGA-PBE
State: relaxed

Cell lengths 4.011, 6.946, 6.887 Å; angles 109.65, 90.00, 90.00 degrees
Fractional positions:
1 Dy 0.500 0.500 0.000
2 Pu 0.500 0.000 0.500
3 P 0.500 0.252 0.256
4 Pu 0.000 0.500 0.500
5 Y 0.000 0.000 0.000
6 P 0.000 0.752 0.256
7 P 0.500 0.748 0.744
8 P 0.000 0.248 0.744

Results
As for the space group: No. 10. The calculation puts the total moment at 9.85 μB/f.u. As for the formation energy: -1.389 eV/atom.

=====

Material: DyPu2ZrP4
Method: DFT, GGA-PBE
State: relaxed

Cell lengths 3.928, 6.803, 6.776 Å; angles 109.53, 90.00, 90.00 degrees
Fractional positions:
1 Pu 0.000 0.500 0.500
2 Zr 0.000 0.000 0.000
3 P 0.000 0.241 0.753
4 Dy 0.500 0.500 0.000
5 P 0.000 0.759 0.247
6 P 0.500 0.241 0.242
7 Pu 0.500 0.000 0.500
8 P 0.500 0.759 0.758

Results
As for the space group: No. 10. The calculation puts the total moment at 0.16 μB/f.u. As for the formation energy: -1.330 eV/atom.